(1)
DFT (PBE) results for an optimized crystal structure of Dy2CdAg6.

DFT formation energy	-0.1838	eV per atom
ΔE to the lowest computed polymorph	0.0	kJ/mol of atoms
mass density	9.6	g/cm³

Cell lengths 8.276, 8.276, 5.205 Å; angles 81.20, 81.20, 143.08 degrees
Positions (direct):
1 Dy 0.340 0.660 0.500
2 Dy 0.660 0.340 0.500
3 Ag 0.138 0.138 0.686
4 Ag 0.995 0.334 0.168
5 Ag 0.862 0.862 0.314
6 Ag 0.666 0.005 0.832
7 Ag 0.334 0.995 0.168
8 Ag 0.005 0.666 0.832
9 Cd 0.500 0.500 0.000

***

(2)
DFT (PBE) results for an optimized crystal structure of DyEr2Ir.

DFT formation energy	-0.6049	eV per atom
ΔE to the lowest computed polymorph	0.0	kJ/mol of atoms
mass density	10.9	g/cm³

Cell lengths 6.367, 7.203, 9.166 Å; angles 90.00, 90.00, 90.00 degrees
Positions (direct):
1 Dy 0.129 0.967 0.750
2 Dy 0.871 0.033 0.250
3 Dy 0.371 0.467 0.750
4 Dy 0.629 0.533 0.250
5 Er 0.173 0.677 0.437
6 Er 0.673 0.823 0.937
7 Er 0.673 0.823 0.563
8 Er 0.327 0.177 0.063
9 Er 0.827 0.323 0.563
10 Er 0.327 0.177 0.437
11 Er 0.827 0.323 0.937
12 Er 0.173 0.677 0.063
13 Ir 0.954 0.616 0.750
14 Ir 0.546 0.116 0.750
15 Ir 0.454 0.884 0.250
16 Ir 0.046 0.384 0.250

***

(3)
DFT (PBE) results for an optimized crystal structure of ZnSi2Ag2.

ΔE to the lowest computed polymorph	7.7	kJ/mol of atoms
ΔE_f (raw)	360	meV per atom
mass density	6.1	g/cm³

Cell lengths 4.055, 4.055, 6.242 Å; angles 71.05, 71.05, 90.00 degrees
Positions (direct):
1 Si 0.602 0.602 0.796
2 Si 0.398 0.398 0.204
3 Zn 0.000 0.000 0.000
4 Ag 0.250 0.750 0.500
5 Ag 0.750 0.250 0.500

***

(4)
DFT (PBE) results for an optimized crystal structure of TaTi2Bi2.

DFT formation energy	0.2518	eV per atom
mass density	11.0	g/cm³

Cell lengths 7.677, 7.677, 3.573 Å; angles 90.00, 90.00, 90.00 degrees
Positions (direct):
1 Ti 0.143 0.643 0.500
2 Ti 0.643 0.857 0.500
3 Ti 0.857 0.357 0.500
4 Ti 0.357 0.143 0.500
5 Bi 0.153 0.347 0.000
6 Bi 0.847 0.653 0.000
7 Bi 0.347 0.847 0.000
8 Bi 0.653 0.153 0.000
9 Ta 0.000 0.000 0.000
10 Ta 0.500 0.500 0.000

***

(5)
DFT (PBE) results for an optimized crystal structure of NaAcPbAu.

DFT formation energy	-0.4409	eV per atom
mass density	9.3	g/cm³

Cell lengths 5.494, 5.494, 5.494 Å; angles 60.00, 60.00, 60.00 degrees
Positions (direct):
1 Pb 0.500 0.500 0.500
2 Ac 0.750 0.750 0.750
3 Au 0.000 0.000 0.000
4 Na 0.250 0.250 0.250

***

(6)
DFT (PBE) results for an optimized crystal structure of Ca5Mo.

DFT formation energy	0.4080	eV per atom
ΔE to the lowest computed polymorph	0.0	kJ/mol of atoms
mass density	2.3	g/cm³

Cell lengths 6.773, 6.773, 9.201 Å; angles 69.08, 69.08, 32.44 degrees
Positions (direct):
1 Ca 0.031 0.031 0.394
2 Ca 0.694 0.694 0.611
3 Ca 0.358 0.358 0.829
4 Ca 0.329 0.329 0.243
5 Ca 0.060 0.060 0.980
6 Mo 0.694 0.694 0.111

***

(7)
DFT (PBE) results for an optimized crystal structure of Hf3U5P8.

DFT formation energy	-1.1268	eV per atom
mass density	10.2	g/cm³

Cell lengths 7.656, 7.656, 7.705 Å; angles 60.21, 60.21, 60.00 degrees
Positions (direct):
1 P 0.250 0.250 0.738
2 P 0.755 0.755 0.736
3 P 0.761 0.250 0.738
4 P 0.239 0.750 0.262
5 P 0.245 0.245 0.264
6 P 0.250 0.761 0.738
7 P 0.750 0.750 0.262
8 P 0.750 0.239 0.262
9 Hf 0.000 0.000 0.500
10 Hf 0.500 0.000 0.500
11 Hf 0.000 0.500 0.500
12 U 0.500 0.000 0.000
13 U 0.500 0.500 0.500
14 U 0.500 0.500 0.000
15 U 0.000 0.500 0.000
16 U 0.000 0.000 0.000

***

(8)
DFT (PBE) results for an optimized crystal structure of Ba3Na2Sr3Hg.

DFT formation energy	-0.1151	eV per atom
mass density	3.4	g/cm³

Cell lengths 4.700, 10.499, 10.499 Å; angles 120.00, 90.00, 90.00 degrees
Positions (direct):
1 Hg 0.000 0.000 0.000
2 Ba 0.000 0.000 0.392
3 Ba 0.000 0.392 0.000
4 Ba 0.000 0.608 0.608
5 Na 0.500 0.333 0.667
6 Na 0.500 0.667 0.333
7 Sr 0.500 0.763 0.000
8 Sr 0.500 0.000 0.763
9 Sr 0.500 0.237 0.237

***

Fermi-level density of states values (in states/eV/cell) by entry order: 5.20, 15.48, 1.90, 15.83, 2.83, 4.96, 25.25, 9.12.